Record 1
{
  "formula": "LaPr2As",
  "functional": "GGA-PBE",
  "state": "relaxed",
  "cell": [[2.032, 1.173, 9.652], [-2.032, 1.173, 9.652], [0.000, -2.346, 9.652]],
  "species": ["La", "Pr", "Pr", "As"],
  "frac_coords": [[0.000, 0.000, 0.000], [0.562, 0.562, 0.562], [0.772, 0.772, 0.772], [0.167, 0.167, 0.167]],
  "spacegroup": "R3m (160)",
  "volume_a3_per_atom": 34.508,
  "formation_energy_ev_per_atom": -0.615,
  "total_magnetization_mub_per_atom": 0.03,
  "final_energy_ev_per_atom": -5.399,
  "mass_density_g_cm3": 5.96,
  "de_polymorph_kj_per_mol_atoms": 0.0
}

---

Record 2
{
  "formula": "LaPrAs2",
  "functional": "GGA-PBE",
  "state": "relaxed",
  "cell": [[2.138, 1.234, 7.423], [-2.138, 1.234, 7.423], [0.000, -2.469, 7.423]],
  "species": ["La", "Pr", "As", "As"],
  "frac_coords": [[0.000, 0.000, 0.000], [0.171, 0.171, 0.171], [0.584, 0.584, 0.584], [0.754, 0.754, 0.754]],
  "spacegroup": "R3m (160)",
  "volume_a3_per_atom": 29.384,
  "formation_energy_ev_per_atom": -1.395,
  "total_magnetization_mub_per_atom": 0.00,
  "final_energy_ev_per_atom": -6.146,
  "mass_density_g_cm3": 6.07,
  "de_polymorph_kj_per_mol_atoms": 13.9
}

---

Record 3
{
  "formula": "LaPr2As3",
  "functional": "GGA-PBE",
  "state": "relaxed",
  "cell": [[-2.168, 3.061, 6.494], [2.168, -3.061, 6.494], [2.168, 3.061, -6.494]],
  "species": ["La", "Pr", "Pr", "As", "As", "As"],
  "frac_coords": [[0.000, 0.000, 0.000], [0.333, 0.333, 0.000], [0.667, 0.667, 0.000], [0.168, 0.668, 0.500], [0.500, 0.000, 0.500], [0.832, 0.332, 0.500]],
  "spacegroup": "Immm (71)",
  "volume_a3_per_atom": 28.725,
  "formation_energy_ev_per_atom": -1.526,
  "total_magnetization_mub_per_atom": 0.00,
  "final_energy_ev_per_atom": -6.265,
  "mass_density_g_cm3": 6.22
}

---

Record 4
{
  "formula": "LaPr2As",
  "functional": "GGA-PBE",
  "state": "relaxed",
  "cell": [[2.022, 1.167, 9.723], [-2.022, 1.167, 9.723], [0.000, -2.335, 9.723]],
  "species": ["La", "Pr", "Pr", "As"],
  "frac_coords": [[0.000, 0.000, 0.000], [0.228, 0.228, 0.228], [0.772, 0.772, 0.772], [0.500, 0.500, 0.500]],
  "spacegroup": "R-3m (166)",
  "volume_a3_per_atom": 34.424,
  "formation_energy_ev_per_atom": -0.607,
  "total_magnetization_mub_per_atom": 0.00,
  "final_energy_ev_per_atom": -5.391,
  "mass_density_g_cm3": 5.98,
  "de_polymorph_kj_per_mol_atoms": 0.7
}

---

Record 5
{
  "formula": "La5Pr3As8",
  "functional": "GGA-PBE",
  "state": "relaxed",
  "cell": [[4.351, 2.512, 7.107], [-4.351, 2.512, 7.107], [0.000, -5.024, 7.107]],
  "species": ["La", "La", "La", "La", "La", "Pr", "Pr", "Pr", "As", "As", "As", "As", "As", "As", "As", "As"],
  "frac_coords": [[0.000, 0.000, 0.000], [0.000, 0.500, 0.500], [0.500, 0.000, 0.500], [0.500, 0.500, 0.000], [0.500, 0.500, 0.500], [0.000, 0.000, 0.500], [0.000, 0.500, 0.000], [0.500, 0.000, 0.000], [0.249, 0.249, 0.249], [0.249, 0.750, 0.750], [0.250, 0.250, 0.751], [0.250, 0.751, 0.250], [0.750, 0.249, 0.750], [0.750, 0.750, 0.249], [0.751, 0.250, 0.250], [0.751, 0.751, 0.751]],
  "spacegroup": "R-3m (166)",
  "volume_a3_per_atom": 29.130,
  "formation_energy_ev_per_atom": -1.546,
  "total_magnetization_mub_per_atom": 0.00,
  "final_energy_ev_per_atom": -6.307,
  "mass_density_g_cm3": 6.12
}

---

Record 6
{
  "formula": "LaPrAs2",
  "functional": "GGA-PBE",
  "state": "relaxed",
  "cell": [[-3.069, 3.069, 6.145], [3.069, -3.069, 6.145], [3.069, 3.069, -6.145]],
  "species": ["La", "La", "Pr", "Pr", "As", "As", "As", "As"],
  "frac_coords": [[0.375, 0.625, 0.750], [0.625, 0.375, 0.250], [0.125, 0.875, 0.250], [0.875, 0.125, 0.750], [0.124, 0.374, 0.750], [0.374, 0.124, 0.250], [0.626, 0.876, 0.750], [0.876, 0.626, 0.250]],
  "spacegroup": "I4_1/amd (141)",
  "volume_a3_per_atom": 28.935,
  "formation_energy_ev_per_atom": -1.538,
  "total_magnetization_mub_per_atom": 0.00,
  "final_energy_ev_per_atom": -6.290,
  "mass_density_g_cm3": 6.16,
  "de_polymorph_kj_per_mol_atoms": 0.0
}

---

Record 7
{
  "formula": "La5PrAs6",
  "functional": "GGA-PBE",
  "state": "relaxed",
  "cell": [[3.780, -6.547, 0.000], [3.780, 6.547, 0.000], [-2.520, 0.000, 7.129]],
  "species": ["La", "La", "La", "La", "La", "Pr", "As", "As", "As", "As", "As", "As"],
  "frac_coords": [[0.000, 0.000, 0.000], [0.167, 0.833, 0.500], [0.333, 0.667, 0.000], [0.667, 0.333, 0.000], [0.833, 0.167, 0.500], [0.500, 0.500, 0.500], [0.085, 0.417, 0.251], [0.251, 0.251, 0.749], [0.417, 0.085, 0.251], [0.583, 0.915, 0.749], [0.749, 0.749, 0.251], [0.915, 0.583, 0.749]],
  "spacegroup": "C2/m (12)",
  "volume_a3_per_atom": 29.406,
  "formation_energy_ev_per_atom": -1.564,
  "total_magnetization_mub_per_atom": 0.00,
  "final_energy_ev_per_atom": -6.340,
  "mass_density_g_cm3": 6.05
}

---

Record 8
{
  "formula": "LaPr3As4",
  "functional": "GGA-PBE",
  "state": "relaxed",
  "cell": [[4.325, -6.114, 0.000], [4.325, 6.114, 0.000], [0.000, 0.000, 4.328]],
  "species": ["La", "Pr", "Pr", "Pr", "As", "As", "As", "As"],
  "frac_coords": [[0.000, 0.000, 0.000], [0.000, 0.500, 0.500], [0.500, 0.000, 0.500], [0.500, 0.500, 0.000], [0.251, 0.251, 0.500], [0.251, 0.749, 0.000], [0.749, 0.251, 0.000], [0.749, 0.749, 0.500]],
  "spacegroup": "Cmmm (65)",
  "volume_a3_per_atom": 28.613,
  "formation_energy_ev_per_atom": -1.520,
  "total_magnetization_mub_per_atom": 0.00,
  "final_energy_ev_per_atom": -6.253,
  "mass_density_g_cm3": 6.25
}

---

Record 9
{
  "formula": "LaPrAs2",
  "functional": "GGA-PBE",
  "state": "relaxed",
  "cell": [[2.172, 1.254, 7.089], [-2.172, 1.254, 7.089], [0.000, -2.508, 7.089]],
  "species": ["La", "Pr", "As", "As"],
  "frac_coords": [[0.000, 0.000, 0.000], [0.500, 0.500, 0.500], [0.249, 0.249, 0.249], [0.751, 0.751, 0.751]],
  "spacegroup": "R-3m (166)",
  "volume_a3_per_atom": 28.952,
  "formation_energy_ev_per_atom": -1.538,
  "total_magnetization_mub_per_atom": 0.00,
  "final_energy_ev_per_atom": -6.290,
  "mass_density_g_cm3": 6.16,
  "de_polymorph_kj_per_mol_atoms": 0.0
}

---

Record 10
{
  "formula": "LaPr3As4",
  "functional": "GGA-PBE",
  "state": "relaxed",
  "cell": [[6.115, 0.000, 0.000], [0.000, 6.115, 0.000], [0.000, 0.000, 6.115]],
  "species": ["La", "Pr", "Pr", "Pr", "As", "As", "As", "As"],
  "frac_coords": [[0.000, 0.000, 0.000], [0.000, 0.500, 0.500], [0.500, 0.000, 0.500], [0.500, 0.500, 0.000], [0.000, 0.000, 0.500], [0.000, 0.500, 0.000], [0.500, 0.000, 0.000], [0.500, 0.500, 0.500]],
  "spacegroup": "Pm-3m (221)",
  "volume_a3_per_atom": 28.588,
  "formation_energy_ev_per_atom": -1.521,
  "total_magnetization_mub_per_atom": 0.00,
  "final_energy_ev_per_atom": -6.254,
  "mass_density_g_cm3": 6.25
}

---

Record 11
{
  "formula": "LaPr4As5",
  "functional": "GGA-PBE",
  "state": "relaxed",
  "cell": [[-2.163, 3.054, 10.803], [2.163, -3.054, 10.803], [2.163, 3.054, -10.803]],
  "species": ["La", "Pr", "Pr", "Pr", "Pr", "As", "As", "As", "As", "As"],
  "frac_coords": [[0.000, 0.000, 0.000], [0.201, 0.201, 0.000], [0.400, 0.400, 0.000], [0.600, 0.600, 0.000], [0.799, 0.799, 0.000], [0.101, 0.601, 0.500], [0.300, 0.800, 0.500], [0.500, 0.000, 0.500], [0.700, 0.200, 0.500], [0.899, 0.399, 0.500]],
  "spacegroup": "Immm (71)",
  "volume_a3_per_atom": 28.543,
  "formation_energy_ev_per_atom": -1.516,
  "total_magnetization_mub_per_atom": 0.00,
  "final_energy_ev_per_atom": -6.245,
  "mass_density_g_cm3": 6.27
}

---

Record 12
{
  "formula": "La3PrAs4",
  "functional": "GGA-PBE",
  "state": "relaxed",
  "cell": [[4.359, -6.162, 0.000], [4.359, 6.162, 0.000], [0.000, 0.000, 4.362]],
  "species": ["La", "La", "La", "Pr", "As", "As", "As", "As"],
  "frac_coords": [[0.000, 0.000, 0.000], [0.000, 0.500, 0.500], [0.500, 0.000, 0.500], [0.500, 0.500, 0.000], [0.251, 0.251, 0.500], [0.251, 0.749, 0.000], [0.749, 0.251, 0.000], [0.749, 0.749, 0.500]],
  "spacegroup": "Cmmm (65)",
  "volume_a3_per_atom": 29.294,
  "formation_energy_ev_per_atom": -1.557,
  "total_magnetization_mub_per_atom": 0.00,
  "final_energy_ev_per_atom": -6.327,
  "mass_density_g_cm3": 6.07
}

---

Record 13
{
  "formula": "La2PrAs3Pt4",
  "functional": "GGA-PBE",
  "state": "relaxed",
  "cell": [[4.389, 0.000, 0.000], [0.000, 4.389, 0.000], [0.000, 0.000, 11.447]],
  "species": ["La", "La", "Pr", "As", "As", "As", "Pt", "Pt", "Pt", "Pt"],
  "frac_coords": [[0.000, 0.500, 0.213], [0.500, 0.000, 0.787], [0.000, 0.000, 0.500], [0.000, 0.500, 0.879], [0.500, 0.000, 0.121], [0.500, 0.500, 0.500], [0.000, 0.000, 0.000], [0.000, 0.500, 0.665], [0.500, 0.000, 0.335], [0.500, 0.500, 0.000]],
  "spacegroup": "P-4m2 (115)",
  "volume_a3_per_atom": 22.052,
  "formation_energy_ev_per_atom": -0.961,
  "total_magnetization_mub_per_atom": 0.00,
  "final_energy_ev_per_atom": -6.235,
  "mass_density_g_cm3": 10.72
}

---

Record 14
{
  "formula": "La2PrPuAs4",
  "functional": "GGA-PBE",
  "state": "relaxed",
  "cell": [[7.443, 0.000, 0.000], [0.000, 4.306, 0.000], [-2.481, 0.000, 7.022]],
  "species": ["La", "La", "Pr", "Pu", "As", "As", "As", "As"],
  "frac_coords": [[0.000, 0.000, 0.000], [0.500, 0.500, 0.000], [0.000, 0.500, 0.500], [0.500, 0.000, 0.500], [0.254, 0.000, 0.743], [0.260, 0.500, 0.262], [0.740, 0.500, 0.738], [0.746, 0.000, 0.257]],
  "spacegroup": "P2/m (10)",
  "volume_a3_per_atom": 28.130,
  "formation_energy_ev_per_atom": -1.395,
  "total_magnetization_mub_per_atom": 0.61,
  "final_energy_ev_per_atom": -7.340,
  "mass_density_g_cm3": 7.10
}

---

Record 15
{
  "formula": "La2PrAs3Rh4",
  "functional": "GGA-PBE",
  "state": "relaxed",
  "cell": [[4.215, 0.000, 0.000], [0.000, 4.215, 0.000], [0.000, 0.000, 11.594]],
  "species": ["La", "La", "Pr", "As", "As", "As", "Rh", "Rh", "Rh", "Rh"],
  "frac_coords": [[0.000, 0.500, 0.224], [0.500, 0.000, 0.776], [0.000, 0.000, 0.500], [0.000, 0.500, 0.877], [0.500, 0.000, 0.123], [0.500, 0.500, 0.500], [0.000, 0.000, 0.000], [0.000, 0.500, 0.667], [0.500, 0.000, 0.333], [0.500, 0.500, 0.000]],
  "spacegroup": "P-4m2 (115)",
  "volume_a3_per_atom": 20.595,
  "formation_energy_ev_per_atom": -0.943,
  "total_magnetization_mub_per_atom": 0.00,
  "final_energy_ev_per_atom": -6.742,
  "mass_density_g_cm3": 8.51
}

---

Record 16
{
  "formula": "La2PrAs3Rh12",
  "functional": "GGA-PBE",
  "state": "relaxed",
  "cell": [[4.595, 2.653, 4.374], [-4.595, 2.653, 4.374], [0.000, -5.305, 4.374]],
  "species": ["La", "La", "Pr", "As", "As", "As", "Rh", "Rh", "Rh", "Rh", "Rh", "Rh", "Rh", "Rh", "Rh", "Rh", "Rh", "Rh"],
  "frac_coords": [[0.135, 0.135, 0.135], [0.865, 0.865, 0.865], [0.500, 0.500, 0.500], [0.000, 0.500, 0.500], [0.500, 0.000, 0.500], [0.500, 0.500, 0.000], [0.126, 0.126, 0.596], [0.126, 0.596, 0.126], [0.169, 0.688, 0.688], [0.312, 0.312, 0.831], [0.312, 0.831, 0.312], [0.404, 0.874, 0.874], [0.596, 0.126, 0.126], [0.688, 0.169, 0.688], [0.688, 0.688, 0.169], [0.831, 0.312, 0.312], [0.874, 0.404, 0.874], [0.874, 0.874, 0.404]],
  "spacegroup": "R-3m (166)",
  "volume_a3_per_atom": 17.772,
  "formation_energy_ev_per_atom": -0.293,
  "total_magnetization_mub_per_atom": 0.00,
  "final_energy_ev_per_atom": -6.782,
  "mass_density_g_cm3": 9.75
}

---

Record 17
{
  "formula": "LaPr2ScAs4",
  "functional": "GGA-PBE",
  "state": "relaxed",
  "cell": [[7.314, 0.000, 0.000], [0.000, 4.239, 0.000], [-2.435, 0.000, 6.904]],
  "species": ["La", "Pr", "Pr", "Sc", "As", "As", "As", "As"],
  "frac_coords": [[0.000, 0.000, 0.000], [0.000, 0.500, 0.500], [0.500, 0.000, 0.500], [0.500, 0.500, 0.000], [0.260, 0.500, 0.243], [0.267, 0.000, 0.766], [0.733, 0.000, 0.234], [0.740, 0.500, 0.757]],
  "spacegroup": "P2/m (10)",
  "volume_a3_per_atom": 26.762,
  "formation_energy_ev_per_atom": -1.430,
  "total_magnetization_mub_per_atom": 0.00,
  "final_energy_ev_per_atom": -6.357,
  "mass_density_g_cm3": 5.94
}

---

Record 18
{
  "formula": "La2PrSm3As6",
  "functional": "GGA-PBE",
  "state": "relaxed",
  "cell": [[9.335, -2.143, 0.000], [9.335, 2.143, 0.000], [-1.967, 0.000, 8.339]],
  "species": ["La", "La", "Pr", "Sm", "Sm", "Sm", "As", "As", "As", "As", "As", "As"],
  "frac_coords": [[0.166, 0.166, 0.333], [0.834, 0.834, 0.667], [0.500, 0.500, 0.000], [0.167, 0.167, 0.834], [0.500, 0.500, 0.500], [0.833, 0.833, 0.166], [0.002, 0.002, 0.747], [0.332, 0.332, 0.921], [0.335, 0.335, 0.413], [0.665, 0.665, 0.587], [0.668, 0.668, 0.079], [0.998, 0.998, 0.253]],
  "spacegroup": "C2/m (12)",
  "volume_a3_per_atom": 27.806,
  "formation_energy_ev_per_atom": -1.536,
  "total_magnetization_mub_per_atom": 0.00,
  "final_energy_ev_per_atom": -6.260,
  "mass_density_g_cm3": 6.57
}

---

Record 19
{
  "formula": "LaPr3Sm2As6",
  "functional": "GGA-PBE",
  "state": "relaxed",
  "cell": [[3.715, -6.433, 0.000], [3.715, 6.433, 0.000], [-2.474, 0.000, 7.005]],
  "species": ["La", "Pr", "Pr", "Pr", "Sm", "Sm", "As", "As", "As", "As", "As", "As"],
  "frac_coords": [[0.000, 0.000, 0.000], [0.166, 0.834, 0.500], [0.500, 0.500, 0.500], [0.834, 0.166, 0.500], [0.333, 0.667, 0.000], [0.667, 0.333, 0.000], [0.082, 0.420, 0.247], [0.255, 0.255, 0.753], [0.420, 0.082, 0.247], [0.580, 0.918, 0.753], [0.745, 0.745, 0.247], [0.918, 0.580, 0.753]],
  "spacegroup": "C2/m (12)",
  "volume_a3_per_atom": 27.901,
  "formation_energy_ev_per_atom": -1.519,
  "total_magnetization_mub_per_atom": 0.00,
  "final_energy_ev_per_atom": -6.235,
  "mass_density_g_cm3": 6.51
}

---

Record 20
{
  "formula": "La2PrSmAs4",
  "functional": "GGA-PBE",
  "state": "relaxed",
  "cell": [[7.478, 0.000, 0.000], [0.000, 4.321, 0.000], [-2.490, 0.000, 7.052]],
  "species": ["La", "La", "Pr", "Sm", "As", "As", "As", "As"],
  "frac_coords": [[0.000, 0.000, 0.000], [0.500, 0.500, 0.000], [0.000, 0.500, 0.500], [0.500, 0.000, 0.500], [0.251, 0.000, 0.746], [0.254, 0.500, 0.256], [0.746, 0.500, 0.744], [0.749, 0.000, 0.254]],
  "spacegroup": "P2/m (10)",
  "volume_a3_per_atom": 28.488,
  "formation_energy_ev_per_atom": -1.542,
  "total_magnetization_mub_per_atom": 0.00,
  "final_energy_ev_per_atom": -6.286,
  "mass_density_g_cm3": 6.33
}